Co3Ir GGA-PBE relaxed; DOS(E_F) = 1.51 states/eV per atom; crystal system = tetragonal; space-group type = No. 123; raw total energy = -29.925 eV/cell; energy of formation from the pure elements = 0.063 eV per atom
1.0
-2.260 -1.192 0.558
0.422 -1.707 -1.936
3.331 -4.232 4.456
Co Ir
3 1
direct
0.500 0.500 0.250 Co
0.000 0.000 0.015 Co
0.000 0.000 0.485 Co
0.500 0.500 0.750 Ir